The following is a DFT calculation (GGA-PBE) of an optimized crystal structure of Ce5H6.

Cell lengths 3.4734, 5.6730, 16.9248 Å; angles 90.00, 90.00, 90.00 degrees
Space group Immm (No. 71)
Inequivalent atoms, fractional coordinates:
Ce1 0.0000 0.0000 0.0000 x2
Ce2 0.0000 0.0000 0.3885 x4
Ce3 0.0000 0.5000 0.3013 x4
H1 0.0000 0.2129 0.1222 x8
H2 0.0000 0.2323 0.5000 x4

Summary:
- E: -4.84 eV/atom
- D(E_F): 2.009 states/eV/atom

---

The following is a DFT calculation (GGA-PBE) of an optimized crystal structure of CeH5.

Cell lengths 3.4935, 7.3195, 3.4742 Å; angles 90.00, 90.00, 90.00 degrees
Space group Cmmm (No. 65)
Inequivalent atoms, fractional coordinates:
Ce1 0.0000 0.0000 0.0000 x2
H1 0.0000 0.1926 0.5000 x4
H2 0.0000 0.3063 0.0000 x4
H3 0.0000 0.5000 0.5000 x2

Summary:
- E: -3.72 eV/atom
- D(E_F): 0.212 states/eV/atom

---

The following is a DFT calculation (GGA-PBE) of an optimized crystal structure of Ce3H4.

Cell lengths 7.2854, 10.3104, 6.3013 Å; angles 90.00, 125.24, 90.00 degrees
Space group Cc (No. 9)
Inequivalent atoms, fractional coordinates:
Ce1 0.0000 0.0629 0.0000 x4
Ce2 0.1253 0.3127 0.7500 x4
Ce3 0.4371 0.1248 0.6247 x4
H1 0.0167 0.1710 0.3749 x4
H2 0.1877 0.5000 0.0330 x4
H3 0.2662 0.0791 0.8744 x4
H4 0.2796 0.2500 0.2165 x4

Summary:
- E: -4.75 eV/atom
- D(E_F): 1.916 states/eV/atom

---

The following is a DFT calculation (GGA-PBE) of an optimized crystal structure of CeH.

Cell lengths 4.2744, 4.2744, 3.3949 Å; angles 90.00, 90.00, 90.00 degrees
Space group I-4m2 (No. 119)
Inequivalent atoms, fractional coordinates:
Ce1 0.0000 0.0000 0.0000 x2
H1 0.0000 0.5000 0.2500 x2

Summary:
- E: -4.86 eV/atom
- D(E_F): 1.814 states/eV/atom

---

Number 4 is which compound?
CeH

---

Which value of E does entry 3 give?
-4.75 eV/atom

---

Number 4 is which compound?
CeH